The following is a PBE calculation of a relaxed structure of Zr2Ti5Co2Rh, from the Alexandria database.

a b c (Å): 10.375 10.375 3.075
angles (deg): 90.00 90.00 90.00
Element x y z (fractional)
Zr  0.177  0.323  0.000
Zr  0.323  0.823  0.000
Zr  0.677  0.177  0.000
Zr  0.823  0.677  0.000
Ti  0.000  0.500  0.500
Ti  0.058  0.796  0.500
Ti  0.204  0.058  0.500
Ti  0.296  0.558  0.500
Ti  0.442  0.296  0.500
Ti  0.500  0.000  0.500
Ti  0.558  0.704  0.500
Ti  0.704  0.442  0.500
Ti  0.796  0.942  0.500
Ti  0.942  0.204  0.500
Co  0.129  0.629  0.000
Co  0.371  0.129  0.000
Co  0.629  0.871  0.000
Co  0.871  0.371  0.000
Rh  0.000  0.000  0.000
Rh  0.500  0.500  0.000

Computed properties:
Volume   331.0 Å³/cell
E   -163.59 eV/cell
Fermi-level density of states   18.80 states/eV per cell
Symmetry   P4/mbm, No. 127
Energy of formation   -0.37 eV/atom